Compound: HfCuNiRh
Source: Alexandria
Functional: PBE
Structure: optimized geometry

a b c (Å): 3.626 3.916 3.998
angles (deg): 90.00 90.00 90.00
Fractional coordinates of all 4 atoms:
Hf 0.000 0.000 0.000
Cu 0.000 0.500 0.500
Ni 0.500 0.000 0.500
Rh 0.500 0.500 0.000

Results
Raw total energy in eV per atom: -7.359
E_form in meV/atom: -563
Symmetry: No. 47
M_tot in μB per formula unit: 0.0
Calculated density in Mg/m³: 11.81